1.
Entry from Alexandria via LeMat-Bulk: PaGa2Sb after structural relaxation (PBE).

Values from the calculation:
Raw total energy, eV/atom: -5.05
Raw formation energy, eV/atom: -0.13
Calculated volume, Å³/f.u.: 88
Size of the total moment, μB/f.u.: 0.0

```
data_PaGa2Sb
_space_group_name_H-M_alt 'P 1'
_space_group_IT_number 1
_cell_length_a 3.7319
_cell_length_b 3.7319
_cell_length_c 6.3047
_cell_angle_alpha 90.00
_cell_angle_beta 90.00
_cell_angle_gamma 90.00
loop_
_space_group_symop_operation_xyz
'x,y,z'
loop_
_atom_site_label
_atom_site_type_symbol
_atom_site_fract_x
_atom_site_fract_y
_atom_site_fract_z
Pa1 Pa 0.0000 0.0000 0.0000
Ga1 Ga 0.5000 0.5000 0.2688
Ga2 Ga 0.5000 0.5000 0.7312
Sb1 Sb 0.0000 0.0000 0.5000
```

---

2.
Entry from Alexandria via LeMat-Bulk: CaPaInO6 after structural relaxation (PBE).

Values from the calculation:
Raw total energy, eV/atom: -7.14
Raw formation energy, eV/atom: -2.25
Calculated volume, Å³/f.u.: 134
Size of the total moment, μB/f.u.: 2.0

```
data_CaPaInO6
_space_group_name_H-M_alt 'P 1'
_space_group_IT_number 1
_cell_length_a 5.7040
_cell_length_b 5.7040
_cell_length_c 4.7661
_cell_angle_alpha 90.00
_cell_angle_beta 90.00
_cell_angle_gamma 120.00
loop_
_space_group_symop_operation_xyz
'x,y,z'
loop_
_atom_site_label
_atom_site_type_symbol
_atom_site_fract_x
_atom_site_fract_y
_atom_site_fract_z
Ca1 Ca 0.0000 0.0000 0.0000
Pa1 Pa 0.6667 0.3333 0.5000
In1 In 0.3333 0.6667 0.0000
O1 O 0.3618 0.0055 0.2443
O2 O 0.3618 0.3563 0.7557
O3 O 0.6437 0.0055 0.7557
O4 O 0.6437 0.6382 0.2443
O5 O 0.9945 0.3563 0.2443
O6 O 0.9945 0.6382 0.7557
```

---

3.
Entry from Alexandria via LeMat-Bulk: YInSe3 after structural relaxation (PBE).

Values from the calculation:
Raw total energy, eV/atom: -4.67
Raw formation energy, eV/atom: -0.73
Calculated volume, Å³/f.u.: 164
Size of the total moment, μB/f.u.: 0.0

```
data_YInSe3
_space_group_name_H-M_alt 'P 1'
_space_group_IT_number 1
_cell_length_a 5.4814
_cell_length_b 5.4814
_cell_length_c 5.4814
_cell_angle_alpha 86.30
_cell_angle_beta 86.30
_cell_angle_gamma 86.30
loop_
_space_group_symop_operation_xyz
'x,y,z'
loop_
_atom_site_label
_atom_site_type_symbol
_atom_site_fract_x
_atom_site_fract_y
_atom_site_fract_z
Y1 Y 0.0000 0.0000 0.0000
In1 In 0.3648 0.3648 0.3648
Se1 Se 0.3365 0.3365 0.8539
Se2 Se 0.3365 0.8539 0.3365
Se3 Se 0.8539 0.3365 0.3365
```

---

4.
Entry from Alexandria via LeMat-Bulk: GaNO2F after structural relaxation (PBE).

Values from the calculation:
Raw total energy, eV/atom: -3.14
Raw formation energy, eV/atom: 1.48
Calculated volume, Å³/f.u.: 55
Size of the total moment, μB/f.u.: 1.9

```
data_GaNO2F
_space_group_name_H-M_alt 'P 1'
_space_group_IT_number 1
_cell_length_a 3.9853
_cell_length_b 3.9853
_cell_length_c 3.4733
_cell_angle_alpha 90.00
_cell_angle_beta 90.00
_cell_angle_gamma 90.00
loop_
_space_group_symop_operation_xyz
'x,y,z'
loop_
_atom_site_label
_atom_site_type_symbol
_atom_site_fract_x
_atom_site_fract_y
_atom_site_fract_z
Ga1 Ga 0.0000 0.0000 0.0000
N1 N 0.5000 0.5000 0.0000
O1 O 0.0000 0.5000 0.5000
O2 O 0.5000 0.0000 0.5000
F1 F 0.5000 0.5000 0.5000
```

---

5.
Entry from Alexandria via LeMat-Bulk: BaFePb3 after structural relaxation (PBE).

Values from the calculation:
Raw total energy, eV/atom: -4.21
Calculated volume, Å³/f.u.: 147
Size of the total moment, μB/f.u.: 0.0
Energy relative to the elements, eV per atom: 0.093

```
data_BaFePb3
_space_group_name_H-M_alt 'P 1'
_space_group_IT_number 1
_cell_length_a 5.2748
_cell_length_b 5.2748
_cell_length_c 5.2748
_cell_angle_alpha 90.00
_cell_angle_beta 90.00
_cell_angle_gamma 90.00
loop_
_space_group_symop_operation_xyz
'x,y,z'
loop_
_atom_site_label
_atom_site_type_symbol
_atom_site_fract_x
_atom_site_fract_y
_atom_site_fract_z
Ba1 Ba 0.0000 0.0000 0.0000
Fe1 Fe 0.5000 0.5000 0.5000
Pb1 Pb 0.0000 0.5000 0.5000
Pb2 Pb 0.5000 0.0000 0.5000
Pb3 Pb 0.5000 0.5000 0.0000
```

---

6.
Entry from Alexandria via LeMat-Bulk: PmPu2CuN4 after structural relaxation (PBE).

Values from the calculation:
Raw total energy, eV/atom: -9.85
Raw formation energy, eV/atom: -1.00
Calculated volume, Å³/f.u.: 112
Size of the total moment, μB/f.u.: 8.0

```
data_PmPu2CuN4
_space_group_name_H-M_alt 'P 1'
_space_group_IT_number 1
_cell_length_a 5.8982
_cell_length_b 5.8982
_cell_length_c 11.4461
_cell_angle_alpha 90.00
_cell_angle_beta 90.00
_cell_angle_gamma 145.73
loop_
_space_group_symop_operation_xyz
'x,y,z'
loop_
_atom_site_label
_atom_site_type_symbol
_atom_site_fract_x
_atom_site_fract_y
_atom_site_fract_z
Pm1 Pm 0.1024 0.8976 0.7500
Pm2 Pm 0.8976 0.1024 0.2500
Pu1 Pu 0.3702 0.6298 0.5561
Pu2 Pu 0.3702 0.6298 0.9439
Pu3 Pu 0.6298 0.3702 0.0561
Pu4 Pu 0.6298 0.3702 0.4439
Cu1 Cu 0.1639 0.8361 0.2500
Cu2 Cu 0.8361 0.1639 0.7500
N1 N 0.0000 0.0000 0.0000
N2 N 0.0000 0.0000 0.5000
N3 N 0.2660 0.7340 0.1099
N4 N 0.2660 0.7340 0.3901
N5 N 0.4464 0.5536 0.7500
N6 N 0.5536 0.4464 0.2500
N7 N 0.7340 0.2660 0.6099
N8 N 0.7340 0.2660 0.8901
```

---

7.
Entry from Alexandria via LeMat-Bulk: La2Ho3Pt4 after structural relaxation (PBE).

Values from the calculation:
Raw total energy, eV/atom: -6.48
Calculated volume, Å³/f.u.: 220
Size of the total moment, μB/f.u.: 0.0
Energy relative to the elements, eV per atom: -1.178

```
data_La2Ho3Pt4
_space_group_name_H-M_alt 'P 1'
_space_group_IT_number 1
_cell_length_a 7.6345
_cell_length_b 7.6707
_cell_length_c 7.9612
_cell_angle_alpha 90.00
_cell_angle_beta 109.25
_cell_angle_gamma 90.00
loop_
_space_group_symop_operation_xyz
'x,y,z'
loop_
_atom_site_label
_atom_site_type_symbol
_atom_site_fract_x
_atom_site_fract_y
_atom_site_fract_z
La1 La 0.1975 0.1764 0.0857
La2 La 0.1975 0.3236 0.5857
La3 La 0.8025 0.6764 0.4143
La4 La 0.8025 0.8236 0.9143
Ho1 Ho 0.2465 0.6623 0.2491
Ho2 Ho 0.2465 0.8377 0.7491
Ho3 Ho 0.5000 0.0000 0.5000
Ho4 Ho 0.5000 0.5000 0.0000
Ho5 Ho 0.7535 0.1623 0.2509
Ho6 Ho 0.7535 0.3377 0.7509
Pt1 Pt 0.0937 0.5401 0.8665
Pt2 Pt 0.0937 0.9599 0.3665
Pt3 Pt 0.4996 0.1354 0.8725
Pt4 Pt 0.4996 0.3646 0.3725
Pt5 Pt 0.5004 0.6354 0.6275
Pt6 Pt 0.5004 0.8646 0.1275
Pt7 Pt 0.9063 0.0401 0.6335
Pt8 Pt 0.9063 0.4599 0.1335
```

---

8.
Entry from Alexandria via LeMat-Bulk: K3Sm3InSe8 after structural relaxation (PBE).

Values from the calculation:
Raw total energy, eV/atom: -4.62
Raw formation energy, eV/atom: -1.41
Calculated volume, Å³/f.u.: 484
Size of the total moment, μB/f.u.: 0.0

```
data_K3Sm3InSe8
_space_group_name_H-M_alt 'P 1'
_space_group_IT_number 1
_cell_length_a 8.4078
_cell_length_b 8.4078
_cell_length_c 9.2787
_cell_angle_alpha 116.99
_cell_angle_beta 116.99
_cell_angle_gamma 59.93
loop_
_space_group_symop_operation_xyz
'x,y,z'
loop_
_atom_site_label
_atom_site_type_symbol
_atom_site_fract_x
_atom_site_fract_y
_atom_site_fract_z
K1 K 0.0000 0.0000 0.0000
K2 K 0.0000 0.5000 0.0000
K3 K 0.5000 0.0000 0.0000
Sm1 Sm 0.0000 0.5000 0.5000
Sm2 Sm 0.5000 0.0000 0.5000
Sm3 Sm 0.5000 0.5000 0.5000
In1 In 0.0000 0.0000 0.5000
Se1 Se 0.2291 0.2291 0.7028
Se2 Se 0.2293 0.7444 0.7030
Se3 Se 0.2556 0.7707 0.2970
Se4 Se 0.2635 0.2635 0.2906
Se5 Se 0.7365 0.7365 0.7094
Se6 Se 0.7444 0.2293 0.7030
Se7 Se 0.7707 0.2556 0.2970
Se8 Se 0.7709 0.7709 0.2972
```

---

9.
Entry from Alexandria via LeMat-Bulk: TbInPbI6 after structural relaxation (PBE).

Values from the calculation:
Raw total energy, eV/atom: -3.20
Raw formation energy, eV/atom: -0.94
Calculated volume, Å³/f.u.: 427
Size of the total moment, μB/f.u.: 0.0

```
data_TbInPbI6
_space_group_name_H-M_alt 'P 1'
_space_group_IT_number 1
_cell_length_a 8.0870
_cell_length_b 8.0870
_cell_length_c 15.0906
_cell_angle_alpha 90.00
_cell_angle_beta 90.00
_cell_angle_gamma 120.00
loop_
_space_group_symop_operation_xyz
'x,y,z'
loop_
_atom_site_label
_atom_site_type_symbol
_atom_site_fract_x
_atom_site_fract_y
_atom_site_fract_z
Tb1 Tb 0.3333 0.6667 0.2500
Tb2 Tb 0.6667 0.3333 0.7500
In1 In 0.0000 0.0000 0.0000
In2 In 0.0000 0.0000 0.5000
Pb1 Pb 0.3333 0.6667 0.7500
Pb2 Pb 0.6667 0.3333 0.2500
I1 I 0.0183 0.3686 0.1312
I2 I 0.0183 0.6497 0.3688
I3 I 0.3503 0.3686 0.3688
I4 I 0.3503 0.9817 0.1312
I5 I 0.3686 0.0183 0.6312
I6 I 0.3686 0.3503 0.8688
I7 I 0.6314 0.6497 0.1312
I8 I 0.6314 0.9817 0.3688
I9 I 0.6497 0.0183 0.8688
I10 I 0.6497 0.6314 0.6312
I11 I 0.9817 0.3503 0.6312
I12 I 0.9817 0.6314 0.8688
```